[1]
This record from the Alexandria database describes crystalline Nd7SbAs5 at its relaxed geometry. The functional is PBE.

Output
Energy relative to the elements, uncorrected in eV/f.u.: -17.76
M_tot in μB/f.u.: 0.77

a b c (Å): 7.362 7.362 25.172
angles (deg): 90.00 90.00 146.08
Fractional positions:
Nd  0.037  0.963  0.750
Nd  0.136  0.864  0.035
Nd  0.136  0.864  0.465
Nd  0.323  0.677  0.674
Nd  0.323  0.677  0.826
Nd  0.409  0.591  0.105
Nd  0.409  0.591  0.395
Nd  0.591  0.409  0.605
Nd  0.591  0.409  0.895
Nd  0.677  0.323  0.174
Nd  0.677  0.323  0.326
Nd  0.864  0.136  0.535
Nd  0.864  0.136  0.965
Nd  0.963  0.037  0.250
Sb  0.298  0.702  0.250
Sb  0.702  0.298  0.750
As  0.044  0.956  0.144
As  0.044  0.956  0.356
As  0.228  0.772  0.573
As  0.228  0.772  0.927
As  0.500  0.500  0.000
As  0.500  0.500  0.500
As  0.772  0.228  0.073
As  0.772  0.228  0.427
As  0.956  0.044  0.644
As  0.956  0.044  0.856



[2]
This record from the Alexandria database describes crystalline Y2Ho3Au2 at its relaxed geometry. The functional is PBE.

Output
DFT total energy in eV/atom: -5.260
M_tot in μB/f.u.: 0.00

a b c (Å): 6.567 6.567 9.135
angles (deg): 114.68 114.68 32.95
Fractional positions:
Y  0.150  0.150  0.311
Y  0.850  0.850  0.689
Ho  0.386  0.386  0.056
Ho  0.500  0.500  0.500
Ho  0.614  0.614  0.944
Au  0.170  0.170  0.730
Au  0.830  0.830  0.270



[3]
This record from the Alexandria database describes crystalline Sm2Dy12Th5 at its relaxed geometry. The functional is PBE.

Output
Energy above the lowest structure with this stoichiometry in meV per atom: 0
M_tot in μB/f.u.: 0.00

a b c (Å): 8.633 8.633 9.397
angles (deg): 109.72 109.72 84.54
Fractional positions:
Sm  0.215  0.785  0.000
Sm  0.785  0.215  0.000
Dy  0.031  0.552  0.194
Dy  0.068  0.068  0.783
Dy  0.144  0.656  0.597
Dy  0.344  0.856  0.403
Dy  0.395  0.395  0.076
Dy  0.448  0.969  0.806
Dy  0.552  0.031  0.194
Dy  0.605  0.605  0.924
Dy  0.656  0.144  0.597
Dy  0.856  0.344  0.403
Dy  0.932  0.932  0.217
Dy  0.969  0.448  0.806
Th  0.203  0.203  0.246
Th  0.275  0.275  0.632
Th  0.500  0.500  0.500
Th  0.725  0.725  0.368
Th  0.797  0.797  0.754



[4]
This record from the Alexandria database describes crystalline U5Os2 at its relaxed geometry. The functional is PBE.

Output
DFT total energy in eV/atom: -11.329
M_tot in μB/f.u.: 0.18

a b c (Å): 4.700 4.700 7.397
angles (deg): 108.67 108.67 59.73
Fractional positions:
U  0.000  0.000  0.000
U  0.149  0.149  0.446
U  0.289  0.289  0.865
U  0.711  0.711  0.135
U  0.851  0.851  0.554
Os  0.433  0.433  0.300
Os  0.567  0.567  0.700



The records above give, respectively, calculated volume values of 29.285; 27.552; 32.654; 18.738 A^3/atom.